The following is a PBE calculation of LiZnCr after structural relaxation, from Alexandria.

Calculated values
polymorph energy (0 for the lowest one) = 148.3 meV per atom
D(E_F) = 6.7 states/eV per cell
E = -4.05 eV/atom
energy of formation = 0.7 eV per formula unit
calculated density = 5.23 g/cm³

Cell: 4.076 5.271 7.351 Å, 90.00 90.00 90.00°
Space group Imma (No. 74)
Inequivalent atoms, fractional coordinates:
Li: 0.000 0.250 0.169 x4
Zn: 0.000 0.000 0.500 x4
Cr: 0.000 0.250 0.815 x4



The following is a PBE calculation of NdY5HoTh2 after structural relaxation, from Alexandria.

Calculated values
D(E_F) = 48.5 states/eV per cell
E = -5.96 eV/atom
energy of formation = 2.9 eV per formula unit
calculated density = 6.73 g/cm³

Cell: 8.774 8.774 15.603 Å, 90.00 90.00 90.00°
Space group I4/mcm (No. 140)
Inequivalent atoms, fractional coordinates:
Nd: 0.000 0.500 0.250 x4
Y: 0.000 0.000 0.000 x4
Y: 0.208 0.292 0.139 x16
Ho: 0.000 0.000 0.250 x4
Th: 0.119 0.381 0.500 x8



The following is a PBE calculation of HfTi2Zn3 after structural relaxation, from Alexandria.

Calculated values
polymorph energy (0 for the lowest one) = 9.3 meV per atom
D(E_F) = 1.8 states/eV per cell
E = -5.10 eV/atom
energy of formation = -1.1 eV per formula unit
calculated density = 7.94 g/cm³

Cell: 4.5288 4.5288 5.5421 Å, 90.00 90.00 120.00°
Space group P-3m1 (No. 164)
Inequivalent atoms, fractional coordinates:
Hf: 0.0000 0.0000 0.0000 x1
Ti: 0.3333 0.6667 0.6629 x2
Zn: 0.0000 0.0000 0.5000 x1
Zn: 0.3333 0.6667 0.1732 x2



The following is a PBE calculation of Fe2CuPd5 after structural relaxation, from Alexandria.

Calculated values
polymorph energy (0 for the lowest one) = 0.0 meV per atom
D(E_F) = 10.3 states/eV per cell
E = -5.95 eV/atom
energy of formation = -0.7 eV per formula unit
calculated density = 10.17 g/cm³

Cell: 5.547 5.547 7.508 Å, 90.00 90.00 90.00°
Space group I4/mmm (No. 139)
Inequivalent atoms, fractional coordinates:
Fe: 0.000 0.500 0.000 x4
Cu: 0.000 0.000 0.000 x2
Pd: 0.000 0.000 0.500 x2
Pd: 0.250 0.250 0.250 x8



The following is a PBE calculation of ThSnAu after structural relaxation, from Alexandria.

Calculated values
D(E_F) = 10.0 states/eV per cell
E = -5.31 eV/atom
energy of formation = -1.2 eV per formula unit
calculated density = 11.17 g/cm³

Cell: 5.5001 5.5001 9.3199 Å, 90.00 90.00 120.00°
Space group R3m (No. 160, hexagonal axes)
Inequivalent atoms, fractional coordinates:
Th: 0.0000 0.0000 0.0000 x3
Sn: 0.0000 0.0000 0.6223 x3
Au: 0.0000 0.0000 0.3184 x3



The following is a PBE calculation of BeHgTeI2 after structural relaxation, from Alexandria.

Calculated values
energy relative to the elements, uncorrected = 0.872 eV/atom
polymorph energy (0 for the lowest one) = 658.2 meV per atom
D(E_F) = 6.8 states/eV per cell
E = -1.18 eV/atom
calculated density = 4.96 g/cm³

Cell: 5.888 5.888 5.710 Å, 90.00 90.00 90.00°
Space group P4/mmm (No. 123)
Inequivalent atoms, fractional coordinates:
Be: 0.000 0.000 0.000 x1
Hg: 0.500 0.500 0.500 x1
Te: 0.500 0.500 0.000 x1
I: 0.000 0.500 0.500 x2



The following is a PBE calculation of InCo2W after structural relaxation, from Alexandria.

Calculated values
D(E_F) = 3.7 states/eV per cell
E = -7.18 eV/atom
energy of formation = 1.2 eV per formula unit
calculated density = 11.85 g/cm³

Cell: 2.848 2.848 7.198 Å, 90.00 90.00 90.00°
Space group P4mm (No. 99)
Inequivalent atoms, fractional coordinates:
In: 0.000 0.000 0.000 x1
Co: 0.000 0.000 0.545 x1
Co: 0.500 0.500 0.736 x1
W: 0.500 0.500 0.315 x1



The following is a PBE calculation of BaAlP2 after structural relaxation, from Alexandria.

Calculated values
D(E_F) = 3.8 states/eV per cell
E = -4.55 eV/atom
energy of formation = -1.7 eV per formula unit
calculated density = 3.71 g/cm³

Cell: 4.466 6.494 6.975 Å, 90.00 90.00 90.00°
Space group Immm (No. 71)
Inequivalent atoms, fractional coordinates:
Ba: 0.000 0.000 0.000 x2
Al: 0.000 0.000 0.500 x2
P: 0.000 0.500 0.162 x4



Which formula does entry 7 have? InCo2W